Below is Pr2TmGe3Pd4 after structural relaxation, with properties calculated at the PBE-GGA level.

```
data_Pr2TmGe3Pd4
_space_group_name_H-M_alt 'P -4 m 2'
_space_group_IT_number 115
_space_group_name_Hall 'P -4 -2'
_cell_length_a 4.309
_cell_length_b 4.309
_cell_length_c 11.165
_cell_angle_alpha 90.00
_cell_angle_beta 90.00
_cell_angle_gamma 90.00
loop_
_atom_site_label
_atom_site_type_symbol
_atom_site_fract_x
_atom_site_fract_y
_atom_site_fract_z
Pr1 Pr 0.000 0.500 0.224
Tm1 Tm 0.000 0.000 0.500
Ge1 Ge 0.000 0.500 0.877
Ge2 Ge 0.500 0.500 0.500
Pd1 Pd 0.000 0.000 0.000
Pd2 Pd 0.000 0.500 0.654
Pd3 Pd 0.500 0.500 0.000
```

Calculated values
E_tot: -0.210 Ha/atom
formation energy from the elements: -0.8530 eV/atom
N(E_F): 0.754 states/eV/atom